<P>
NdTeNO PBE relaxed; V = 170.8 Å³ per cell; mass density = 5.87 Mg/m³
1.0
-2.083 -3.608 0.000
0.000 0.000 6.640
-5.346 3.087 0.000
N Nd O Te
2 2 2 2
Direct
0.000 0.909 0.392 N
0.000 0.409 0.608 N
0.500 0.481 0.796 Nd
0.500 0.981 0.204 Nd
0.500 0.289 0.083 O
0.500 0.789 0.917 O
0.000 0.075 0.665 Te
0.000 0.575 0.335 Te

=====

<Q>
NdTeNO PBE relaxed; V = 276.2 Å³ per cell; mass density = 7.26 Mg/m³
1.0
6.438 0.000 0.000
0.000 6.959 0.000
0.000 0.000 6.166
Nd N O Te
4 4 4 4
Direct
0.091 0.256 0.978 Nd
0.409 0.256 0.478 Nd
0.591 0.744 0.978 Nd
0.909 0.744 0.478 Nd
0.609 0.954 0.638 N
0.891 0.954 0.138 N
0.391 0.046 0.138 N
0.109 0.046 0.638 N
0.588 0.552 0.628 O
0.412 0.448 0.128 O
0.088 0.448 0.628 O
0.912 0.552 0.128 O
0.435 0.773 0.459 Te
0.935 0.227 0.459 Te
0.565 0.227 0.959 Te
0.065 0.773 0.959 Te

=====

Among the structures shown above, <Q> is the most stable, with the second-best lying 0.028 eV/atom higher.